A plane-wave DFT calculation with PBE-GGA was carried out for a relaxed structure of ThAlOs.

ρ, g/cm3: 10.60
Crystal system: cubic
Total energy, eV per atom: -7.68

CIF file:
```
data_ThAlOs
_chemical_formula_sum 'Th4 Al4 Os4'
_cell_length_a 6.554
_cell_length_b 6.554
_cell_length_c 6.554
_cell_angle_alpha 90.00
_cell_angle_beta 90.00
_cell_angle_gamma 90.00
_space_group_name_H-M_alt 'F -4 3 m'
_space_group_IT_number 216
_space_group_name_Hall 'F -4 2 3'
loop_
_atom_site_label
_atom_site_fract_x
_atom_site_fract_y
_atom_site_fract_z
_atom_site_occupancy
Th1 0.000 0.000 0.000 1
Al1 0.000 0.000 0.500 1
Os1 0.250 0.250 0.750 1
```

=====

A plane-wave DFT calculation with PBE-GGA was carried out for a relaxed structure of ZnGaNO.

ρ, g/cm3: 7.06
Crystal system: tetragonal
Relative energy among the computed polymorphs, eV/atom: 0.343

CIF file:
```
data_ZnGaNO
_chemical_formula_sum 'Zn1 Ga1 N1 O1'
_cell_length_a 3.000
_cell_length_b 3.000
_cell_length_c 4.314
_cell_angle_alpha 90.00
_cell_angle_beta 90.00
_cell_angle_gamma 90.00
_space_group_name_H-M_alt 'P 4/m m m'
_space_group_IT_number 123
_space_group_name_Hall '-P 4 2'
loop_
_atom_site_label
_atom_site_fract_x
_atom_site_fract_y
_atom_site_fract_z
_atom_site_occupancy
Zn1 0.000 0.000 0.000 1
Ga1 0.500 0.500 0.500 1
N1 0.000 0.000 0.500 1
O1 0.500 0.500 0.000 1
```

=====

A plane-wave DFT calculation with PBE-GGA was carried out for a relaxed structure of Dy4INCl4.

ρ, g/cm3: 6.13
Crystal system: monoclinic
Total energy, eV per atom: -5.30

CIF file:
```
data_Dy4INCl4
_chemical_formula_sum 'Dy8 I2 N2 Cl8'
_cell_length_a 16.760
_cell_length_b 3.725
_cell_length_c 8.362
_cell_angle_alpha 90.00
_cell_angle_beta 104.41
_cell_angle_gamma 90.00
_space_group_name_H-M_alt 'C 1 2/m 1'
_space_group_IT_number 12
_space_group_name_Hall '-C 2y'
loop_
_atom_site_label
_atom_site_fract_x
_atom_site_fract_y
_atom_site_fract_z
_atom_site_occupancy
Dy1 0.000 0.000 0.190 1
Dy2 0.143 0.500 0.073 1
I1 0.000 0.500 0.500 1
N1 0.000 0.500 0.000 1
Cl1 0.166 0.000 0.316 1
Cl2 0.171 0.000 0.849 1
```

=====

A plane-wave DFT calculation with PBE-GGA was carried out for a relaxed structure of KAuNO.

ρ, g/cm3: 6.17
Crystal system: tetragonal
Relative energy among the computed polymorphs, eV/atom: 0.614

CIF file:
```
data_KAuNO
_chemical_formula_sum 'K2 Au2 N2 O2'
_cell_length_a 4.591
_cell_length_b 4.591
_cell_length_c 6.794
_cell_angle_alpha 90.00
_cell_angle_beta 90.00
_cell_angle_gamma 90.00
_space_group_name_H-M_alt 'P 4/n m m'
_space_group_IT_number 129
loop_
_space_group_symop_operation_xyz
'x,y,z'
'-x,-y,-z'
'-y+1/2,x,z'
'y+1/2,-x,-z'
'-x+1/2,-y+1/2,z'
'x+1/2,y+1/2,-z'
'y,-x+1/2,z'
'-y,x+1/2,-z'
'x+1/2,-y,-z'
'-x+1/2,y,z'
'-y,-x,-z'
'y,x,z'
'-x,y+1/2,-z'
'x,-y+1/2,z'
'y+1/2,x+1/2,-z'
'-y+1/2,-x+1/2,z'
loop_
_atom_site_label
_atom_site_fract_x
_atom_site_fract_y
_atom_site_fract_z
_atom_site_occupancy
K1 0.250 0.750 0.000 1
Au1 0.250 0.250 0.466 1
N1 0.250 0.250 0.180 1
O1 0.250 0.750 0.500 1
```

=====

A plane-wave DFT calculation with PBE-GGA was carried out for a relaxed structure of SrPdW.

ρ, g/cm3: 8.10
Crystal system: cubic
Relative energy among the computed polymorphs, eV/atom: 0.000

CIF file:
```
data_SrPdW
_chemical_formula_sum 'Sr4 Pd4 W4'
_cell_length_a 6.766
_cell_length_b 6.766
_cell_length_c 6.766
_cell_angle_alpha 90.00
_cell_angle_beta 90.00
_cell_angle_gamma 90.00
_space_group_name_H-M_alt 'F -4 3 m'
_space_group_IT_number 216
_space_group_name_Hall 'F -4 2 3'
loop_
_atom_site_label
_atom_site_fract_x
_atom_site_fract_y
_atom_site_fract_z
_atom_site_occupancy
Sr1 0.000 0.000 0.000 1
Pd1 0.250 0.250 0.250 1
W1 0.000 0.000 0.500 1
```

=====

A plane-wave DFT calculation with PBE-GGA was carried out for a relaxed structure of CoSnHgSe3.

ρ, g/cm3: 7.03
Crystal system: orthorhombic
Relative energy among the computed polymorphs, eV/atom: 0.000

CIF file:
```
data_CoSnHgSe3
_chemical_formula_sum 'Co4 Sn4 Hg4 Se12'
_cell_length_a 3.719
_cell_length_b 16.143
_cell_length_c 9.676
_cell_angle_alpha 90.00
_cell_angle_beta 90.00
_cell_angle_gamma 90.00
_space_group_name_H-M_alt 'C m c m'
_space_group_IT_number 63
_space_group_name_Hall '-C 2c 2'
loop_
_atom_site_label
_atom_site_fract_x
_atom_site_fract_y
_atom_site_fract_z
_atom_site_occupancy
Co1 0.000 0.000 0.000 1
Sn1 0.000 0.346 0.250 1
Hg1 0.000 0.298 0.750 1
Se1 0.000 0.031 0.750 1
Se2 0.000 0.405 0.526 1
```

=====

A plane-wave DFT calculation with PBE-GGA was carried out for a relaxed structure of SrIn2Ni2.

ρ, g/cm3: 6.77
Crystal system: tetragonal
Total energy, eV per atom: -3.87

CIF file:
```
data_SrIn2Ni2
_chemical_formula_sum 'Sr2 In4 Ni4'
_cell_length_a 4.446
_cell_length_b 4.446
_cell_length_c 10.787
_cell_angle_alpha 90.00
_cell_angle_beta 90.00
_cell_angle_gamma 90.00
_space_group_name_H-M_alt 'I 4/m m m'
_space_group_IT_number 139
_space_group_name_Hall '-I 4 2'
loop_
_atom_site_label
_atom_site_fract_x
_atom_site_fract_y
_atom_site_fract_z
_atom_site_occupancy
Sr1 0.000 0.000 0.000 1
In1 0.000 0.500 0.250 1
Ni1 0.000 0.000 0.391 1
```

=====

A plane-wave DFT calculation with PBE-GGA was carried out for a relaxed structure of Pr3Ni2Sn7.

ρ, g/cm3: 6.60
Crystal system: orthorhombic
Total energy, eV per atom: -4.52

CIF file:
```
data_Pr3Ni2Sn7
_chemical_formula_sum 'Pr6 Ni4 Sn14'
_cell_length_a 4.678
_cell_length_b 27.232
_cell_length_c 5.415
_cell_angle_alpha 90.00
_cell_angle_beta 90.00
_cell_angle_gamma 90.00
_space_group_name_H-M_alt 'C m m m'
_space_group_IT_number 65
_space_group_name_Hall '-C 2 2'
loop_
_atom_site_label
_atom_site_fract_x
_atom_site_fract_y
_atom_site_fract_z
_atom_site_occupancy
Pr1 0.000 0.000 0.000 1
Pr2 0.000 0.192 0.500 1
Ni1 0.000 0.372 0.000 1
Sn1 0.000 0.000 0.500 1
Sn2 0.000 0.112 0.000 1
Sn3 0.000 0.282 0.000 1
Sn4 0.000 0.413 0.500 1
```

=====

A plane-wave DFT calculation with PBE-GGA was carried out for a relaxed structure of Li2Sc2In2CuNi.

ρ, g/cm3: 5.76
Crystal system: tetragonal
Total energy, eV per atom: -4.29

CIF file:
```
data_Li2Sc2In2CuNi
_chemical_formula_sum 'Li2 Sc2 In2 Cu1 Ni1'
_cell_length_a 4.528
_cell_length_b 4.528
_cell_length_c 6.410
_cell_angle_alpha 90.00
_cell_angle_beta 90.00
_cell_angle_gamma 90.00
_space_group_name_H-M_alt 'P -4 m 2'
_space_group_IT_number 115
_space_group_name_Hall 'P -4 -2'
loop_
_atom_site_label
_atom_site_fract_x
_atom_site_fract_y
_atom_site_fract_z
_atom_site_occupancy
Li1 0.000 0.000 0.000 1
Li2 0.500 0.500 0.500 1
Sc1 0.000 0.500 0.741 1
In1 0.000 0.500 0.252 1
Cu1 0.500 0.500 0.000 1
Ni1 0.000 0.000 0.500 1
```

=====

A plane-wave DFT calculation with PBE-GGA was carried out for a relaxed structure of CuBiSbF.

ρ, g/cm3: 7.39
Crystal system: orthorhombic
Relative energy among the computed polymorphs, eV/atom: 0.202

CIF file:
```
data_CuBiSbF
_chemical_formula_sum 'Cu8 Bi8 Sb8 F8'
_cell_length_a 9.970
_cell_length_b 18.073
_cell_length_c 4.124
_cell_angle_alpha 90.00
_cell_angle_beta 90.00
_cell_angle_gamma 90.00
_space_group_name_H-M_alt 'P b a m'
_space_group_IT_number 55
_space_group_name_Hall '-P 2 2ab'
loop_
_atom_site_label
_atom_site_fract_x
_atom_site_fract_y
_atom_site_fract_z
_atom_site_occupancy
Cu1 0.072 0.095 0.000 1
Cu2 0.080 0.618 0.000 1
Bi1 0.019 0.226 0.500 1
Bi2 0.243 0.396 0.500 1
Sb1 0.227 0.216 0.000 1
Sb2 0.231 0.507 0.000 1
F1 0.004 0.367 0.500 1
F2 0.019 0.914 0.500 1
```

=====

A plane-wave DFT calculation with PBE-GGA was carried out for a relaxed structure of Li2Al2ReMoOs2.

ρ, g/cm3: 11.05
Crystal system: tetragonal
Total energy, eV per atom: -7.39

CIF file:
```
data_Li2Al2ReMoOs2
_chemical_formula_sum 'Li2 Al2 Re1 Mo1 Os2'
_cell_length_a 4.264
_cell_length_b 4.264
_cell_length_c 6.036
_cell_angle_alpha 90.00
_cell_angle_beta 90.00
_cell_angle_gamma 90.00
_space_group_name_H-M_alt 'P -4 m 2'
_space_group_IT_number 115
_space_group_name_Hall 'P -4 -2'
loop_
_atom_site_label
_atom_site_fract_x
_atom_site_fract_y
_atom_site_fract_z
_atom_site_occupancy
Li1 0.000 0.500 0.250 1
Al1 0.000 0.000 0.000 1
Al2 0.500 0.500 0.500 1
Re1 0.000 0.000 0.500 1
Mo1 0.500 0.500 0.000 1
Os1 0.000 0.500 0.746 1
```

=====

A plane-wave DFT calculation with PBE-GGA was carried out for a relaxed structure of Er3BiP2.

ρ, g/cm3: 8.68
Crystal system: trigonal
Total energy, eV per atom: -6.09

CIF file:
```
data_Er3BiP2
_chemical_formula_sum 'Er3 Bi1 P2'
_cell_length_a 4.0320
_cell_length_b 4.0320
_cell_length_c 10.4953
_cell_angle_alpha 90.00
_cell_angle_beta 90.00
_cell_angle_gamma 120.00
_space_group_name_H-M_alt 'P -3 m 1'
_space_group_IT_number 164
_space_group_name_Hall '-P 3 2"'
loop_
_atom_site_label
_atom_site_fract_x
_atom_site_fract_y
_atom_site_fract_z
_atom_site_occupancy
Er1 0.0000 0.0000 0.0000 1
Er2 0.3333 0.6667 0.7041 1
Bi1 0.0000 0.0000 0.5000 1
P1 0.3333 0.6667 0.1537 1
```